The following is a DFT calculation (PBE-GGA) of a relaxed Pm3Cu8Pd crystal.

Summary:
E_form: -2.3 eV/f.u.
SG: R3m, No. 160
Total magnetic moment: 0.00 μB/f.u.

Cell and atoms, written as POSCAR:
```
Pm3Cu8Pd
1.0
-4.6244 1.9420 -1.2373
-2.4280 -1.6250 -4.2605
-6.2082 -6.1572 2.7544
Pm Cu Pd
3 8 1
Direct
0.3800 0.3800 0.8600
0.9887 0.9887 0.0339
0.5087 0.5087 0.4738
0.9443 0.4317 0.1924
0.4412 0.9391 0.6805
0.4317 0.4317 0.1924
0.9391 0.9391 0.6805
0.1881 0.1881 0.4357
0.6870 0.6870 0.9391
0.4317 0.9443 0.1924
0.9391 0.4412 0.6805
0.8705 0.8705 0.3886
```